[1]
Material: AcGa2Hg3
Method: DFT, PBE
State: optimized geometry

Unit cell a=4.8509 b=8.9187 c=8.0806 alpha=115.71 beta=90.00 gamma=105.78
Fractional coordinates of all 12 atoms:
Hg  0.0337  0.0673  0.3634
Hg  0.9663  0.9327  0.6366
Hg  0.6389  0.2777  0.7873
Hg  0.3168  0.6336  0.5608
Hg  0.6832  0.3664  0.4392
Hg  0.3611  0.7223  0.2127
Ga  0.5114  0.0228  0.1653
Ga  0.4886  0.9772  0.8347
Ga  0.1940  0.3880  0.7037
Ga  0.8060  0.6120  0.2963
Ac  0.8573  0.7145  0.9099
Ac  0.1427  0.2855  0.0901

- crystal system = monoclinic
- total magnetization (μB/cell) = 0.000
- formation energy (kJ/mol of atoms) = -29.01

---

[2]
Material: Pm7Er12Sc
Method: DFT, PBE
State: optimized geometry

Unit cell a=8.7068 b=8.7068 c=8.7068 alpha=85.72 beta=85.72 gamma=85.72
Fractional coordinates of all 20 atoms:
Pm  0.1532  0.3989  0.0821
Pm  0.5000  0.5000  0.5000
Pm  0.6011  0.9179  0.8468
Pm  0.0821  0.1532  0.3989
Pm  0.3989  0.0821  0.1532
Pm  0.9179  0.8468  0.6011
Pm  0.8468  0.6011  0.9179
Er  0.2665  0.1444  0.7543
Er  0.4991  0.6143  0.1367
Er  0.6143  0.1367  0.4991
Er  0.5009  0.3857  0.8633
Er  0.1444  0.7543  0.2665
Er  0.1367  0.4991  0.6143
Er  0.7335  0.8556  0.2457
Er  0.8556  0.2457  0.7335
Er  0.3857  0.8633  0.5009
Er  0.2457  0.7335  0.8556
Er  0.7543  0.2665  0.1444
Er  0.8633  0.5009  0.3857
Sc  0.0000  0.0000  0.0000

- crystal system = trigonal
- total magnetization (μB/cell) = 0.000
- relative energy among the computed polymorphs (meV per atom) = 0
- formation energy (kJ/mol of atoms) = 22.81

---

[3]
Material: Sc3InAg
Method: DFT, PBE
State: optimized geometry

Unit cell a=5.3391 b=5.3391 c=5.3391 alpha=90.00 beta=90.00 gamma=90.00
Site moments in Bohr magnetons follow the coordinates.
Fractional coordinates of all 5 atoms:
Sc  0.5000  0.0000  0.0000  0.24
Sc  0.0000  0.5000  0.0000  0.22
Sc  0.0000  0.0000  0.5000  0.21
Ag  0.5000  0.5000  0.5000  0.01
In  0.0000  0.0000  0.0000  0.01

- crystal system = cubic
- total magnetization (μB/cell) = 1.486
- relative energy among the computed polymorphs (meV per atom) = 852
- formation energy (kJ/mol of atoms) = 55.89

---

[4]
Material: La6CoIr2Rh
Method: DFT, PBE
State: optimized geometry

Unit cell a=7.1888 b=7.1888 c=7.7535 alpha=62.36 beta=62.38 gamma=59.91
Fractional coordinates of all 10 atoms:
Co  0.3380  0.3381  0.9858
La  0.5732  0.2525  0.2501
La  0.2513  0.9242  0.2502
La  0.9239  0.5746  0.2498
La  0.7451  0.0844  0.7559
La  0.0856  0.4145  0.7559
La  0.4149  0.7435  0.7563
Rh  0.8346  0.8348  0.4952
Ir  0.4992  0.4987  0.5035
Ir  0.9958  0.9962  0.0124

- crystal system = triclinic
- total magnetization (μB/cell) = 0.000
- formation energy (kJ/mol of atoms) = -50.34

---

[5]
Material: SiTe3
Method: DFT, PBE
State: optimized geometry

Unit cell a=4.0394 b=5.4780 c=5.4779 alpha=67.23 beta=90.00 gamma=90.00
Fractional coordinates of all 4 atoms:
Te  0.5000  0.2206  0.2207
Te  0.5000  0.7794  0.7793
Te  0.0000  0.5000  0.5000
Si  0.0000  0.0000  0.0000

- crystal system = orthorhombic
- total magnetization (μB/cell) = 0.000
- formation energy (no corrections) (eV per atom) = 0.18

---

[6]
Material: NaTiAl
Method: DFT, PBE
State: optimized geometry

Unit cell a=5.3208 b=2.9093 c=8.1396 alpha=90.10 beta=97.97 gamma=74.21
Fractional coordinates of all 6 atoms:
Ti  0.7306  0.3322  0.6585
Ti  0.1721  0.6123  0.7888
Al  0.6388  0.8797  0.9399
Al  0.7227  0.8352  0.3287
Na  0.1383  0.1354  0.1228
Na  0.2236  0.0827  0.4681

- crystal system = triclinic
- total magnetization (μB/cell) = 0.000
- relative energy among the computed polymorphs (meV per atom) = 312
- formation energy (kJ/mol of atoms) = 26.26

---

[7]
Material: HfZrOs
Method: DFT, PBE
State: optimized geometry

Unit cell a=4.5394 b=4.5394 c=4.5394 alpha=60.00 beta=60.00 gamma=60.00
Fractional coordinates of all 3 atoms:
Hf  0.0000  0.0000  0.0000
Zr  0.5000  0.5000  0.5000
Os  0.2500  0.2500  0.2500

- crystal system = cubic
- total magnetization (μB/cell) = 0.000
- relative energy among the computed polymorphs (meV per atom) = 103
- formation energy (kJ/mol of atoms) = -25.57

---

[8]
Material: Hf3V2Ge3
Method: DFT, PBE
State: optimized geometry

Unit cell a=5.2167 b=7.7355 c=7.7355 alpha=120.00 beta=90.00 gamma=90.00
Fractional coordinates of all 16 atoms:
Ge  0.2500  0.0000  0.3989
Ge  0.2500  0.6011  0.6011
Ge  0.2500  0.3989  0.0000
Ge  0.7500  0.6011  0.0000
Ge  0.7500  0.0000  0.6011
Ge  0.7500  0.3989  0.3989
Hf  0.2500  0.7499  0.0000
Hf  0.7500  0.7499  0.7499
Hf  0.7500  0.2501  0.0000
Hf  0.7500  0.0000  0.2501
Hf  0.2500  0.2501  0.2501
Hf  0.2500  0.0000  0.7499
V  0.0000  0.6667  0.3333
V  0.5000  0.3333  0.6667
V  0.5000  0.6667  0.3333
V  0.0000  0.3333  0.6667

- crystal system = hexagonal
- total magnetization (μB/cell) = 0.000
- formation energy (kJ/mol of atoms) = -59.72

---

[9]
Material: U8NiSe17
Method: DFT, PBE
State: optimized geometry

Unit cell a=8.1874 b=8.1874 c=10.8012 alpha=79.72 beta=79.72 gamma=64.48
Site moments in Bohr magnetons follow the coordinates.
Fractional coordinates of all 26 atoms:
Se  0.2970  0.2970  0.7565  -0.09
Se  0.5197  0.5197  0.8293  -0.10
Se  0.8187  0.4349  0.5373  -0.10
Se  0.9491  0.3226  0.0258  -0.07
Se  0.5651  0.1813  0.4627  -0.10
Se  0.9492  0.9492  0.2225  -0.07
Se  0.6774  0.0509  0.9742  -0.07
Se  0.4803  0.4803  0.1707  -0.10
Se  0.7829  0.7829  0.7224  -0.09
Se  0.0509  0.6774  0.9742  -0.07
Se  0.2171  0.2171  0.2776  -0.09
Se  0.1813  0.5651  0.4627  -0.10
Se  0.4349  0.8187  0.5373  -0.10
Se  0.0508  0.0508  0.7775  -0.07
Se  0.3226  0.9491  0.0258  -0.07
Se  0.7030  0.7030  0.2435  -0.09
Se  0.0000  0.0000  0.5000  -0.10
U  0.7993  0.7993  0.4549  2.10
U  0.3213  0.3213  0.0133  2.04
U  0.8215  0.3053  0.2983  2.19
U  0.6787  0.6787  0.9867  2.04
U  0.1785  0.6947  0.7017  2.19
U  0.2007  0.2007  0.5451  2.10
U  0.6947  0.1785  0.7017  2.19
U  0.3053  0.8215  0.2983  2.19
Ni  0.0000  0.0000  0.0000  0.39

- crystal system = monoclinic
- total magnetization (μB/cell) = 16.823
- formation energy (no corrections) (eV per atom) = -1.09

---

[10]
Material: LiTa2W
Method: DFT, PBE
State: optimized geometry

Unit cell a=4.5472 b=2.7072 c=5.5635 alpha=81.41 beta=90.00 gamma=90.00
Fractional coordinates of all 4 atoms:
Li  0.5000  0.7500  0.7500
Ta  0.0000  0.9949  0.0087
Ta  0.0000  0.5051  0.4913
W  0.5000  0.2500  0.2500

- crystal system = monoclinic
- total magnetization (μB/cell) = 0.000
- relative energy among the computed polymorphs (meV per atom) = 100
- formation energy (kJ/mol of atoms) = 28.23

---

[11]
Material: Sr2HoSbO6
Method: DFT, PBE
State: optimized geometry

Unit cell a=5.9127 b=5.8538 c=10.1443 alpha=54.99 beta=90.00 gamma=90.00
Fractional coordinates of all 20 atoms:
Sb  0.5000  0.0000  0.0000
Sb  0.0000  0.0000  0.5000
O  0.0209  0.3124  0.2637
O  0.9791  0.6876  0.7363
O  0.2978  0.7670  0.9608
O  0.7268  0.8424  0.4583
O  0.4791  0.3124  0.7637
O  0.7732  0.8424  0.9583
O  0.2022  0.7670  0.4608
O  0.2268  0.1576  0.0417
O  0.7978  0.2330  0.5392
O  0.2732  0.1576  0.5417
O  0.7022  0.2330  0.0392
O  0.5209  0.6876  0.2363
Ho  0.5000  0.5000  0.5000
Ho  0.0000  0.5000  0.0000
Sr  0.4666  0.2415  0.2504
Sr  0.9666  0.7585  0.2496
Sr  0.5334  0.7585  0.7496
Sr  0.0334  0.2415  0.7504

- crystal system = monoclinic
- total magnetization (μB/cell) = 0.000
- formation energy (no corrections) (eV per atom) = -2.70

---

[12]
Material: La3Dy6TmTh2
Method: DFT, PBE
State: optimized geometry

Unit cell a=6.2227 b=6.2227 c=11.8616 alpha=95.02 beta=95.02 gamma=119.98
Fractional coordinates of all 12 atoms:
Dy  0.7444  0.7444  0.2430
Dy  0.4172  0.0808  0.2428
Dy  0.5828  0.9192  0.7572
Dy  0.9192  0.5828  0.7572
Dy  0.0808  0.4172  0.2428
Dy  0.2556  0.2556  0.7570
Th  0.3335  0.6665  0.0000
Th  0.6665  0.3335  0.0000
Tm  0.0000  0.0000  0.0000
La  0.8338  0.1662  0.5000
La  0.5000  0.5000  0.5000
La  0.1662  0.8338  0.5000

- crystal system = monoclinic
- total magnetization (μB/cell) = 0.000
- formation energy (kJ/mol of atoms) = 1.76

---

[13]
Material: Ta2MnTcH
Method: DFT, PBE
State: optimized geometry

Unit cell a=4.4023 b=4.4023 c=3.2848 alpha=90.00 beta=90.00 gamma=90.00
Fractional coordinates of all 5 atoms:
Ta  0.5000  0.0000  0.0000
Ta  0.0000  0.5000  0.0000
H  0.0000  0.0000  0.0000
Tc  0.5000  0.5000  0.5000
Mn  0.0000  0.0000  0.5000

- crystal system = tetragonal
- total energy (eV per atom) = -9.53
- total magnetization (μB/cell) = 0.000

---

[14]
Material: AlCrPt
Method: DFT, PBE
State: optimized geometry

Unit cell a=5.8142 b=5.8143 c=2.7641 alpha=76.25 beta=76.25 gamma=27.50
Site moments in Bohr magnetons follow the coordinates.
Fractional coordinates of all 3 atoms:
Al  0.9974  0.9974  0.0026  -0.02
Pt  0.6674  0.6674  0.3326  0.01
Cr  0.3351  0.3351  0.6649  1.15

- crystal system = tetragonal
- total magnetization (μB/cell) = 1.182
- formation energy (kJ/mol of atoms) = -37.04

---

[15]
Material: TaIn2Ag
Method: DFT, PBE
State: optimized geometry

Unit cell a=4.8752 b=4.8752 c=4.8752 alpha=60.00 beta=60.00 gamma=60.00
Site moments in Bohr magnetons follow the coordinates.
Fractional coordinates of all 4 atoms:
Ag  0.0000  0.0000  0.0000  -0.01
Ta  0.5000  0.5000  0.5000  0.24
In  0.2500  0.2500  0.2500  0.00
In  0.7500  0.7500  0.7500  0.00

- crystal system = cubic
- total magnetization (μB/cell) = 0.324
- relative energy among the computed polymorphs (meV per atom) = 327
- formation energy (kJ/mol of atoms) = 46.09

---

[16]
Material: Ag3GeS4
Method: DFT, PBE
State: optimized geometry

Unit cell a=5.7024 b=5.7024 c=6.9389 alpha=114.26 beta=114.26 gamma=90.00
Fractional coordinates of all 8 atoms:
S  0.8876  0.8876  0.2317
S  0.3441  0.3441  0.2317
S  0.1124  0.6559  0.7683
S  0.6559  0.1124  0.7683
Ag  0.2500  0.7500  0.5000
Ag  0.7500  0.2500  0.5000
Ag  0.5000  0.5000  0.0000
Ge  0.0000  0.0000  0.0000

- crystal system = tetragonal
- total magnetization (μB/cell) = 0.000
- formation energy (no corrections) (eV per atom) = -0.16
- relative energy among the computed polymorphs (meV per atom) = 0

---

[17]
Material: Nb4HN2
Method: DFT, PBE
State: optimized geometry

Unit cell a=6.2421 b=6.2420 c=6.2337 alpha=119.95 beta=119.94 gamma=90.12
Fractional coordinates of all 14 atoms:
Nb  0.8677  0.6229  0.2447
Nb  0.8729  0.6178  0.7448
Nb  0.3823  0.1271  0.2553
Nb  0.8715  0.1268  0.7445
Nb  0.3768  0.6215  0.2445
Nb  0.3785  0.6232  0.7555
Nb  0.3771  0.1322  0.7552
Nb  0.8732  0.1285  0.2555
N  0.6250  0.3750  0.7500
N  0.6250  0.8750  0.2500
N  0.1250  0.3750  0.7500
N  0.6250  0.3750  0.2500
H  0.2499  0.7499  0.5000
H  0.0001  0.0001  0.0000

- crystal system = orthorhombic
- total energy (eV per atom) = -9.26
- total magnetization (μB/cell) = 0.000

---

[18]
Material: Ta2Nb2Tl
Method: DFT, PBE
State: optimized geometry

Unit cell a=3.9577 b=3.9577 c=7.3452 alpha=74.37 beta=74.37 gamma=90.00
Fractional coordinates of all 5 atoms:
Nb  0.5993  0.5993  0.8014
Nb  0.4007  0.4007  0.1986
Tl  0.0000  0.0000  0.0000
Ta  0.2500  0.7500  0.5000
Ta  0.7500  0.2500  0.5000

- crystal system = tetragonal
- total magnetization (μB/cell) = 0.000
- relative energy among the computed polymorphs (meV per atom) = 231
- formation energy (kJ/mol of atoms) = 74.88

---

[19]
Material: MnFeHIrPd
Method: DFT, PBE
State: optimized geometry

Unit cell a=4.6035 b=2.8264 c=9.3437 alpha=90.00 beta=103.75 gamma=90.00
Site moments in Bohr magnetons follow the coordinates.
Fractional coordinates of all 10 atoms:
H  0.7999  0.0000  0.9631  -0.02
H  0.7999  0.5000  0.4631  -0.02
Fe  0.1990  0.5000  0.5619  2.89
Fe  0.1990  0.0000  0.0619  2.89
Mn  0.8853  0.0000  0.3120  3.50
Mn  0.8853  0.5000  0.8120  3.50
Pd  0.3735  0.0000  0.8059  0.33
Pd  0.3735  0.5000  0.3059  0.33
Ir  0.6935  0.0000  0.5739  0.29
Ir  0.6935  0.5000  0.0739  0.29

- crystal system = monoclinic
- total magnetization (μB/cell) = 14.227
- relative energy among the computed polymorphs (meV per atom) = 51

---

[20]
Material: Re2GeIr
Method: DFT, PBE
State: optimized geometry

Unit cell a=5.6759 b=5.6759 c=6.8050 alpha=65.35 beta=65.35 gamma=90.00
Fractional coordinates of all 8 atoms:
Re  0.1155  0.6250  0.2500
Re  0.3750  0.3655  0.7500
Re  0.8750  0.8845  0.7500
Re  0.6345  0.1250  0.2500
Ir  0.7500  0.2500  0.5000
Ir  0.0000  0.0000  0.0000
Ge  0.2500  0.7500  0.5000
Ge  0.5000  0.5000  0.0000

- crystal system = tetragonal
- total magnetization (μB/cell) = 0.000
- formation energy (kJ/mol of atoms) = 111.11

---

[21]
Material: ReSiOs2
Method: DFT, PBE
State: optimized geometry

Unit cell a=8.6214 b=8.6214 c=8.6214 alpha=18.47 beta=18.47 gamma=18.47
Fractional coordinates of all 4 atoms:
Re  0.4973  0.4973  0.4973
Si  0.7487  0.7487  0.7487
Os  0.0045  0.0045  0.0045
Os  0.2496  0.2496  0.2496

- crystal system = trigonal
- total magnetization (μB/cell) = 0.000
- formation energy (no corrections) (eV per atom) = -0.01

---

no.,N(E_F) (states/eV per cell)
1,4.6
2,35.6
3,12.6
4,4.7
5,1.8
6,2.1
7,2.4
8,9.5
9,46.0
10,3.1
11,0.0
12,15.8
13,2.4
14,1.7
15,3.0
16,7.1
17,8.9
18,7.2
19,7.7
20,8.1
21,1.4